[1]
DFT (PBE) results for a relaxed structure of LuGaMo.

Lattice parameters (Å, degrees): 4.688 4.688 4.688 60.00 60.00 60.00
Site moments in Bohr magnetons follow the coordinates.
Positions (direct):
1 Lu 0.250 0.250 0.250  0.27
2 Mo 0.000 0.000 0.000  2.23
3 Ga 0.500 0.500 0.500  -0.08

***

[2]
DFT (PBE) results for a relaxed structure of Lu2Ga3Mo4N3.

Lattice parameters (Å, degrees): 5.484 5.484 13.544 101.94 101.94 60.27
Positions (direct):
1 N 0.808 0.345 0.500
2 Mo 0.182 0.044 0.577
3 N 0.000 0.500 0.000
4 Mo 0.044 0.182 0.077
5 N 0.500 0.000 0.500
6 N 0.655 0.192 0.000
7 Mo 0.304 0.127 0.923
8 N 0.345 0.808 0.000
9 Ga 0.585 0.890 0.749
10 N 0.192 0.655 0.500
11 Ga 0.064 0.936 0.750
12 Mo 0.956 0.818 0.923
13 Ga 0.890 0.585 0.249
14 Lu 0.627 0.462 0.888
15 Mo 0.127 0.304 0.423
16 Mo 0.873 0.696 0.577
17 Lu 0.538 0.373 0.612
18 Ga 0.415 0.110 0.251
19 Ga 0.110 0.415 0.751
20 Mo 0.696 0.873 0.077
21 Lu 0.462 0.627 0.388
22 Mo 0.818 0.956 0.423
23 Lu 0.373 0.538 0.112
24 Ga 0.936 0.064 0.250

***

[3]
DFT (PBE) results for a relaxed structure of Lu4Ga3Mo2N3.

Lattice parameters (Å, degrees): 5.696 5.696 13.798 101.63 101.63 60.39
Positions (direct):
1 N 0.000 0.500 0.500
2 Mo 0.525 0.357 0.076
3 Ga 0.680 0.585 0.750
4 Lu 0.867 0.698 0.099
5 Mo 0.475 0.643 0.924
6 Lu 0.199 0.032 0.099
7 Ga 0.150 0.850 0.750
8 Lu 0.698 0.867 0.599
9 Mo 0.357 0.525 0.576
10 N 0.500 0.000 0.000
11 N 0.332 0.837 0.500
12 N 0.837 0.332 0.000
13 Ga 0.585 0.680 0.250
14 Ga 0.850 0.150 0.250
15 Lu 0.801 0.968 0.901
16 Lu 0.032 0.199 0.599
17 Lu 0.968 0.801 0.401
18 Mo 0.643 0.475 0.424
19 Lu 0.133 0.302 0.901
20 Lu 0.302 0.133 0.401
21 N 0.163 0.668 0.000
22 N 0.668 0.163 0.500
23 Ga 0.320 0.415 0.250
24 Ga 0.415 0.320 0.750

***

no.,calculated total energy (eV/f.u.),spin magnetization (μB/f.u.)
1,-15.33,2.635
2,-93.96,0.004
3,-84.89,0.000